1.
Ce3ScN after structural relaxation. Source: the Alexandria database, functional PBE.

Summary:
Crystal system: cubic
V, Å³ per atom: 23.6
Formation energy from raw total energies, eV per atom: -0.521

Geometry as POSCAR:
```
Ce3ScN
1.0
4.904 0.000 0.000
0.000 4.904 0.000
0.000 0.000 4.904
Ce Sc N
3 1 1
direct
0.000 0.000 0.500
0.000 0.500 0.000
0.500 0.000 0.000
0.500 0.500 0.500
0.000 0.000 0.000
```



2.
PmCd2Ni9 after structural relaxation. Source: the Alexandria database, functional PBE.

Summary:
Crystal system: tetragonal
V, Å³ per atom: 13.9
Calculated formation energy, meV per atom: -143

Geometry as POSCAR:
```
PmCd2Ni9
1.0
8.260 0.000 0.000
0.000 8.260 0.000
0.000 0.000 4.875
Pm Cd Ni
2 4 18
direct
0.000 0.000 0.000
0.500 0.500 0.000
0.121 0.379 0.000
0.379 0.879 0.000
0.621 0.121 0.000
0.879 0.621 0.000
0.000 0.500 0.500
0.064 0.209 0.500
0.178 0.678 0.251
0.178 0.678 0.749
0.209 0.936 0.500
0.291 0.436 0.500
0.322 0.178 0.251
0.322 0.178 0.749
0.436 0.709 0.500
0.500 0.000 0.500
0.564 0.291 0.500
0.678 0.822 0.251
0.678 0.822 0.749
0.709 0.564 0.500
0.791 0.064 0.500
0.822 0.322 0.251
0.822 0.322 0.749
0.936 0.791 0.500
```



3.
Sc3HgO after structural relaxation. Source: the Alexandria database, functional PBE.

Summary:
Crystal system: orthorhombic
ΔE to the lowest computed polymorph, eV/atom: 0.750
V, Å³ per atom: 27.0
Formation energy from raw total energies, eV per atom: -0.742

Geometry as POSCAR:
```
Sc3HgO
1.0
3.220 -7.757 0.000
3.220 7.757 0.000
0.000 0.000 5.407
Sc Hg O
6 2 2
direct
0.000 0.000 0.000
0.000 0.000 0.500
0.082 0.422 0.750
0.422 0.082 0.250
0.578 0.918 0.750
0.918 0.578 0.250
0.168 0.832 0.750
0.832 0.168 0.250
0.394 0.606 0.750
0.606 0.394 0.250
```



V of number 1 (Ce3ScN)? 23.6 Å³ per atom



The highest V belongs to which entry? Sc3HgO



What did the first record say?
Ce3ScN after structural relaxation. Source: the Alexandria database, functional PBE.

Summary:
Crystal system: cubic
V, Å³ per atom: 23.6
Formation energy from raw total energies, eV per atom: -0.521

Geometry as POSCAR:
```
Ce3ScN
1.0
4.904 0.000 0.000
0.000 4.904 0.000
0.000 0.000 4.904
Ce Sc N
3 1 1
direct
0.000 0.000 0.500
0.000 0.500 0.000
0.500 0.000 0.000
0.500 0.500 0.500
0.000 0.000 0.000
```